(1)
Density functional theory data (PBE) for a relaxed structure of Ba2SbPbSe4.

As for the uncorrected formation energy: -1.0758 eV/atom.

The structure belongs to space group C2/c (No. 15); the cell edges are 12.6365, 12.6426 and 8.8095 Å and the angles 90.00°, 130.98° and 90.00°. Symmetry generates all atoms from Ba at (0.0000, 0.0000, 0.0000), Ba at (0.2500, 0.2500, 0.0000), Sb at (0.2500, 0.2500, 0.5000), Pb at (0.0000, 0.5000, 0.0000), Se at (0.0229, 0.2551, 0.5077) and Se at (0.2401, 0.4871, 0.4879).

(2)
Density functional theory data (PBE) for a relaxed structure of TaWSeN2.

The value obtained for the excess energy over the best structure of this formula in the dataset is 0 meV per atom. As for the uncorrected formation energy: 0.7900 eV/atom.

The structure belongs to space group P4/mmm (No. 123); the cell edges are 3.9089, 3.9089 and 5.0732 Å and the angles 90.00°, 90.00° and 90.00°. Symmetry generates all atoms from Ta at (0.0000, 0.0000, 0.0000), W at (0.5000, 0.5000, 0.5000), Se at (0.5000, 0.5000, 0.0000) and N at (0.0000, 0.5000, 0.5000).

(3)
Density functional theory data (PBE) for a relaxed structure of OsRu2.

The calculation puts the formation energy at -0.01 eV/atom. The value obtained for the excess energy over the best structure of this formula in the dataset is 4 meV per atom.

The structure belongs to space group P-1 (No. 2); the cell edges are 4.7363, 4.7414 and 5.1117 Å and the angles 90.08°, 117.57° and 119.94°. Symmetry generates all atoms from Os at (0.9999, 0.0826, 0.2500), Ru at (0.3340, 0.5839, 0.7505) and Ru at (0.3341, 0.7500, 0.2505).

(4)
Density functional theory data (PBE) for a relaxed structure of Sm2CdN.

The value obtained for the excess energy over the best structure of this formula in the dataset is 88 meV per atom. As for the uncorrected formation energy: -0.8067 eV/atom.

The structure belongs to space group R-3m (No. 166, hexagonal axes); the cell edges are 3.6069, 3.6069 and 24.4677 Å and the angles 90.00°, 90.00° and 120.00°. Symmetry generates all atoms from Sm at (0.0000, 0.0000, 0.2231), Cd at (0.0000, 0.0000, 0.0000) and N at (0.0000, 0.0000, 0.5000).

(5)
Density functional theory data (PBE) for a relaxed structure of BaPI2.

The value obtained for the excess energy over the best structure of this formula in the dataset is 0 meV per atom. As for the uncorrected formation energy: -0.4932 eV/atom.

The structure belongs to space group Fm-3m (No. 225); the cell edges are 8.4763, 8.4763 and 8.4763 Å and the angles 90.00°, 90.00° and 90.00°. Symmetry generates all atoms from Ba at (0.0000, 0.0000, 0.0000), P at (0.0000, 0.0000, 0.5000) and I at (0.2500, 0.2500, 0.2500).

(6)
Density functional theory data (PBE) for a relaxed structure of MnTl2FeGe.

The calculation puts the formation energy at 1.09 eV/atom.

The structure belongs to space group P4/mmm (No. 123); the cell edges are 5.5571, 5.5571 and 4.7938 Å and the angles 90.00°, 90.00° and 90.00°. Symmetry generates all atoms from Mn at (0.0000, 0.0000, 0.0000), Tl at (0.0000, 0.5000, 0.5000), Fe at (0.5000, 0.5000, 0.0000) and Ge at (0.0000, 0.0000, 0.5000).

(7)
Density functional theory data (PBE) for a relaxed structure of LaScAs2.

The calculation puts the formation energy at -1.11 eV/atom. The value obtained for the excess energy over the best structure of this formula in the dataset is 323 meV per atom.

The structure belongs to space group I-42d (No. 122); the cell edges are 7.4025, 7.4025 and 7.9396 Å and the angles 90.00°, 90.00° and 90.00°. Symmetry generates all atoms from La at (0.0000, 0.0000, 0.0000), Sc at (0.0000, 0.0000, 0.5000) and As at (0.2155, 0.7500, 0.6250).

(8)
Density functional theory data (PBE) for a relaxed structure of LiZn5Ir2.

The calculation puts the formation energy at -0.22 eV/atom.

The structure belongs to space group I4mm (No. 107); the cell edges are 6.0592, 6.0592 and 6.1060 Å and the angles 90.00°, 90.00° and 90.00°. Symmetry generates all atoms from Li at (0.0000, 0.0000, 0.0000), Zn at (0.0000, 0.0000, 0.4991), Zn at (0.2502, 0.2502, 0.2495) and Ir at (0.0000, 0.5000, 0.9995).

| no. | electronic total energy (eV per formula unit) |
| --- | --- |
| 1 | -34.22 |
| 2 | -40.99 |
| 3 | -29.80 |
| 4 | -21.91 |
| 5 | -12.41 |
| 6 | -21.56 |
| 7 | -24.99 |
| 8 | -27.78 |